Material: SnGeRuO2
Method: DFT, GGA-PBE
State: relaxed

Cell: 3.908 3.908 5.890 Å, 90.00 90.00 90.00°
Element x y z (fractional)
Sn (0.000, 0.000, 0.000)
Ge (0.500, 0.500, 0.500)
Ru (0.000, 0.000, 0.500)
O (0.000, 0.500, 0.000)
O (0.500, 0.000, 0.000)

Properties
magnetization: 0.03 μB/f.u.
space-group type: P4/mmm (123)
formation energy (no corrections): 0.07 eV/atom
D(E_F): 1.8 states/eV per cell